Below is a geometry-optimized Sm3Er2Tl2 structure, with properties calculated at the PBE-GGA level.

Properties
Space group = C2/m
Polymorph energy (0 for the lowest one) = 0.0 kJ/mol of atoms
Crystal system = monoclinic
ΔE_f = -0.192 eV per atom
Final energy = -58.7 eV per cell

Lattice parameters (Å, degrees): 9.455 5.468 8.673 90.00 111.43 90.00
Fractional coordinates of all 14 atoms:
Sm (0.000, 0.000, 0.000)
Sm (0.156, 0.000, 0.469)
Sm (0.344, 0.500, 0.531)
Sm (0.500, 0.500, 0.000)
Sm (0.656, 0.500, 0.469)
Sm (0.844, 0.000, 0.531)
Er (0.074, 0.500, 0.720)
Er (0.426, 0.000, 0.280)
Er (0.574, 0.000, 0.720)
Er (0.926, 0.500, 0.280)
Tl (0.214, 0.500, 0.142)
Tl (0.286, 0.000, 0.858)
Tl (0.714, 0.000, 0.142)
Tl (0.786, 0.500, 0.858)

=====

Below is a geometry-optimized Sm2ErTl2 structure, with properties calculated at the PBE-GGA level.

Properties
Space group = Immm
Polymorph energy (0 for the lowest one) = 0.7 kJ/mol of atoms
Crystal system = orthorhombic
ΔE_f = -0.271 eV per atom
Final energy = -40.2 eV per cell

Lattice parameters (Å, degrees): 4.856 6.906 9.026 90.00 90.00 90.00
Fractional coordinates of all 10 atoms:
Sm (0.000, 0.000, 0.194)
Sm (0.000, 0.000, 0.806)
Sm (0.500, 0.500, 0.306)
Sm (0.500, 0.500, 0.694)
Er (0.000, 0.500, 0.000)
Er (0.500, 0.000, 0.500)
Tl (0.000, 0.279, 0.500)
Tl (0.000, 0.721, 0.500)
Tl (0.500, 0.221, 0.000)
Tl (0.500, 0.779, 0.000)

=====

- Which of these has the lowest ΔE_f?
  Sm2ErTl2